Entry from the Alexandria database: a geometry-optimized Sc2TaP structure (PBE).

DOS at the Fermi energy = 4.45 states/eV/cell
crystal system = tetragonal
space group = No. 123
E_tot = -30.980 eV per cell
formation energy = -25.4 kJ per mole of atoms
magnetization = 0.000 μB/atom

Cell: 4.232 4.232 3.983 Å, 90.00 90.00 90.00°
Atoms (fractional coordinates):
Sc 0.000 0.500 0.000
Sc 0.500 0.000 0.000
Ta 0.000 0.000 0.500
P 0.500 0.500 0.500